1.
DFT (GGA-PBEsol) results for a relaxed structure of KSbAu.

```
data_KSbAu
_symmetry_space_group_name_H-M 'P -6 m 2'
_symmetry_Int_Tables_number 187
_symmetry_space_group_name_Hall 'P -6 2'
_cell_length_a 4.5836
_cell_length_b 4.5836
_cell_length_c 4.9989
_cell_angle_alpha 90.00
_cell_angle_beta 90.00
_cell_angle_gamma 120.00
loop_
_atom_site_label
_atom_site_type_symbol
_atom_site_fract_x
_atom_site_fract_y
_atom_site_fract_z
K1 K 0.0000 0.0000 0.0000
Sb1 Sb 0.6667 0.3333 0.5000
Au1 Au 0.3333 0.6667 0.5000
```

Values from the calculation:
Crystal system: hexagonal
Energy above the lowest structure with this stoichiometry (meV per atom): 0
Total magnetization (μB/atom): 0.00
ΔE_f (raw) (eV/atom): -0.3459
DFT total energy (eV per atom): -3.551


2.
DFT (GGA-PBEsol) results for a relaxed structure of Zr2BeAl.

```
data_Zr2BeAl
_symmetry_space_group_name_H-M 'P m m 2'
_symmetry_Int_Tables_number 25
_symmetry_space_group_name_Hall 'P 2 -2'
_cell_length_a 3.0962
_cell_length_b 4.0034
_cell_length_c 5.7908
_cell_angle_alpha 90.00
_cell_angle_beta 90.00
_cell_angle_gamma 90.00
loop_
_atom_site_label
_atom_site_type_symbol
_atom_site_fract_x
_atom_site_fract_y
_atom_site_fract_z
Zr1 Zr 0.0000 0.0000 0.0000
Zr2 Zr 0.5000 0.5000 0.2746
Be1 Be 0.5000 0.5000 0.7701
Al1 Al 0.0000 0.0000 0.5193
```

Values from the calculation:
Crystal system: orthorhombic
Energy above the lowest structure with this stoichiometry (meV per atom): 189
ΔH_f (0 K) (eV per atom): 0.0920
Total magnetization (μB/atom): 0.00
DFT total energy (eV per atom): -6.476


3.
DFT (GGA-PBEsol) results for a relaxed structure of Li4LaMg.

```
data_Li4LaMg
_symmetry_space_group_name_H-M 'F -4 3 m'
_symmetry_Int_Tables_number 216
_symmetry_space_group_name_Hall 'F -4 2 3'
_cell_length_a 8.0912
_cell_length_b 8.0912
_cell_length_c 8.0912
_cell_angle_alpha 90.00
_cell_angle_beta 90.00
_cell_angle_gamma 90.00
loop_
_atom_site_label
_atom_site_type_symbol
_atom_site_fract_x
_atom_site_fract_y
_atom_site_fract_z
Li1 Li 0.1229 0.1229 0.3771
La1 La 0.0000 0.0000 0.0000
Mg1 Mg 0.2500 0.2500 0.7500
```

Values from the calculation:
Crystal system: cubic
ΔH_f (0 K) (eV per atom): 0.0095
Total magnetization (μB/atom): 0.00
DFT total energy (eV per atom): -2.479


4.
DFT (GGA-PBEsol) results for a relaxed structure of CsH2IrN.

```
data_CsH2IrN
_symmetry_space_group_name_H-M 'P 4/m m m'
_symmetry_Int_Tables_number 123
_symmetry_space_group_name_Hall '-P 4 2'
_cell_length_a 4.2162
_cell_length_b 4.2162
_cell_length_c 3.7411
_cell_angle_alpha 90.00
_cell_angle_beta 90.00
_cell_angle_gamma 90.00
loop_
_atom_site_label
_atom_site_type_symbol
_atom_site_fract_x
_atom_site_fract_y
_atom_site_fract_z
Cs1 Cs 0.0000 0.0000 0.0000
H1 H 0.0000 0.5000 0.5000
Ir1 Ir 0.5000 0.5000 0.5000
N1 N 0.5000 0.5000 0.0000
```

Values from the calculation:
Crystal system: tetragonal
Total magnetization (μB/atom): 0.00
DFT total energy (eV per atom): -5.049


5.
DFT (GGA-PBEsol) results for a relaxed structure of CsPb2I5.

```
data_CsPb2I5
_symmetry_space_group_name_H-M 'I 4/m c m'
_symmetry_Int_Tables_number 140
_symmetry_space_group_name_Hall '-I 4 2c'
_cell_length_a 8.8965
_cell_length_b 8.8965
_cell_length_c 15.8006
_cell_angle_alpha 90.00
_cell_angle_beta 90.00
_cell_angle_gamma 90.00
loop_
_atom_site_label
_atom_site_type_symbol
_atom_site_fract_x
_atom_site_fract_y
_atom_site_fract_z
Cs1 Cs 0.0000 0.0000 0.2500
Pb1 Pb 0.1618 0.3382 0.0000
I1 I 0.0000 0.0000 0.0000
I2 I 0.1515 0.3485 0.3677
```

Values from the calculation:
Crystal system: tetragonal
Total magnetization (μB/atom): 0.00
ΔE_f (raw) (eV/atom): -0.8437
DFT total energy (eV per atom): -3.065


6.
DFT (GGA-PBEsol) results for a relaxed structure of Mg2TaFe.

```
data_Mg2TaFe
_symmetry_space_group_name_H-M 'C 1 2/m 1'
_symmetry_Int_Tables_number 12
_symmetry_space_group_name_Hall '-C 2y'
_cell_length_a 5.3729
_cell_length_b 9.5853
_cell_length_c 2.6998
_cell_angle_alpha 90.00
_cell_angle_beta 108.37
_cell_angle_gamma 90.00
loop_
_atom_site_label
_atom_site_type_symbol
_atom_site_fract_x
_atom_site_fract_y
_atom_site_fract_z
Mg1 Mg 0.2500 0.2500 0.0000
Ta1 Ta 0.0000 0.0000 0.5000
Fe1 Fe 0.0000 0.5000 0.5000
```

Values from the calculation:
Crystal system: monoclinic
Energy above the lowest structure with this stoichiometry (meV per atom): 0
ΔH_f (0 K) (eV per atom): 0.4094
Total magnetization (μB/atom): 0.44
DFT total energy (eV per atom): -5.828


7.
DFT (GGA-PBEsol) results for a relaxed structure of YH5Se2O8.

```
data_YH5Se2O8
_symmetry_space_group_name_H-M 'P 21 21 21'
_symmetry_Int_Tables_number 19
_symmetry_space_group_name_Hall 'P 2ac 2ab'
_cell_length_a 6.5759
_cell_length_b 6.8957
_cell_length_c 15.8378
_cell_angle_alpha 90.00
_cell_angle_beta 90.00
_cell_angle_gamma 90.00
loop_
_atom_site_label
_atom_site_type_symbol
_atom_site_fract_x
_atom_site_fract_y
_atom_site_fract_z
Y1 Y 0.1228 0.1056 0.2153
H1 H 0.0200 0.4167 0.1029
H2 H 0.0486 0.2704 0.8964
H3 H 0.1059 0.2538 0.0358
H4 H 0.1905 0.0919 0.9163
H5 H 0.2087 0.1665 0.5509
Se1 Se 0.1373 0.3099 0.4230
Se2 Se 0.1530 0.3946 0.7272
O1 O 0.0342 0.8949 0.6981
O2 O 0.0736 0.2041 0.5214
O3 O 0.0944 0.1839 0.9426
O4 O 0.0996 0.8988 0.0981
O5 O 0.1067 0.2987 0.0976
O6 O 0.1431 0.0997 0.3638
O7 O 0.1856 0.4242 0.2639
O8 O 0.1890 0.7860 0.2635
```

Values from the calculation:
Crystal system: orthorhombic
Total magnetization (μB/atom): 0.00
DFT total energy (eV per atom): -5.975


8.
DFT (GGA-PBEsol) results for a relaxed structure of Na3LiCd.

```
data_Na3LiCd
_symmetry_space_group_name_H-M 'P m -3 m'
_symmetry_Int_Tables_number 221
_symmetry_space_group_name_Hall '-P 4 2 3'
_cell_length_a 5.5220
_cell_length_b 5.5220
_cell_length_c 5.5220
_cell_angle_alpha 90.00
_cell_angle_beta 90.00
_cell_angle_gamma 90.00
loop_
_atom_site_label
_atom_site_type_symbol
_atom_site_fract_x
_atom_site_fract_y
_atom_site_fract_z
Na1 Na 0.0000 0.0000 0.5000
Li1 Li 0.0000 0.0000 0.0000
Cd1 Cd 0.5000 0.5000 0.5000
```

Values from the calculation:
Crystal system: cubic
ΔH_f (0 K) (eV per atom): 0.3133
Total magnetization (μB/atom): 0.00
DFT total energy (eV per atom): -1.159


Among the records above, which one has the highest DFT total energy? Na3LiCd


Copy entry 4 word for word.
DFT (GGA-PBEsol) results for a relaxed structure of CsH2IrN.

```
data_CsH2IrN
_symmetry_space_group_name_H-M 'P 4/m m m'
_symmetry_Int_Tables_number 123
_symmetry_space_group_name_Hall '-P 4 2'
_cell_length_a 4.2162
_cell_length_b 4.2162
_cell_length_c 3.7411
_cell_angle_alpha 90.00
_cell_angle_beta 90.00
_cell_angle_gamma 90.00
loop_
_atom_site_label
_atom_site_type_symbol
_atom_site_fract_x
_atom_site_fract_y
_atom_site_fract_z
Cs1 Cs 0.0000 0.0000 0.0000
H1 H 0.0000 0.5000 0.5000
Ir1 Ir 0.5000 0.5000 0.5000
N1 N 0.5000 0.5000 0.0000
```

Values from the calculation:
Crystal system: tetragonal
Total magnetization (μB/atom): 0.00
DFT total energy (eV per atom): -5.049